DFT (PBE) results for a geometry-optimized K2NbPt structure.

a = 8.747 Å, b = 8.747 Å, c = 8.747 Å
α = 94.80°, β = 94.80°, γ = 146.36°
Atoms (fractional coordinates):
K 0.375 0.027 0.152
K 0.777 0.625 0.652
K 0.875 0.223 0.848
K 0.973 0.125 0.348
Nb 0.250 0.750 0.500
Nb 0.500 0.500 0.000
Pt 0.000 0.000 0.000
Pt 0.750 0.250 0.500

Calculated values
**Energy above the most stable polymorph in this dataset**: 0.00 eV per formula unit
**Symmetry**: I-42d, No. 122



DFT (PBE) results for a geometry-optimized K2NbSbPt structure.

a = 6.020 Å, b = 6.020 Å, c = 5.024 Å
α = 90.00°, β = 90.00°, γ = 90.00°
Atoms (fractional coordinates):
K 0.000 0.500 0.000
K 0.500 0.000 0.000
Nb 0.000 0.000 0.500
Sb 0.500 0.500 0.500
Pt 0.500 0.500 0.000

Calculated values
**Symmetry**: P4/mmm, No. 123
**Formation energy without anion corrections**: 0.818 eV per atom



DFT (PBE) results for a geometry-optimized KRbNb3 structure.

a = 5.047 Å, b = 5.047 Å, c = 5.047 Å
α = 90.00°, β = 90.00°, γ = 90.00°
Atoms (fractional coordinates):
K 0.000 0.000 0.000
Rb 0.500 0.500 0.500
Nb 0.000 0.500 0.500
Nb 0.500 0.000 0.500
Nb 0.500 0.500 0.000

Calculated values
**Energy above the most stable polymorph in this dataset**: 0.00 eV per formula unit
**Symmetry**: Pm-3m, No. 221



DFT (PBE) results for a geometry-optimized KRb2Nb structure.

a = 14.399 Å, b = 14.399 Å, c = 14.399 Å
α = 157.06°, β = 157.06°, γ = 32.67°
Atoms (fractional coordinates):
K 0.000 0.000 0.000
K 0.750 0.250 0.500
Rb 0.144 0.625 0.019
Rb 0.375 0.394 0.519
Rb 0.606 0.125 0.981
Rb 0.875 0.856 0.481
Nb 0.250 0.750 0.500
Nb 0.500 0.500 0.000

Calculated values
**Energy above the most stable polymorph in this dataset**: 0.48 eV per formula unit
**Symmetry**: I-42d, No. 122



DFT (PBE) results for a geometry-optimized KRbNb2 structure.

a = 5.514 Å, b = 5.514 Å, c = 5.514 Å
α = 60.00°, β = 60.00°, γ = 60.00°
Atoms (fractional coordinates):
K 0.000 0.000 0.000
Rb 0.500 0.500 0.500
Nb 0.250 0.250 0.250
Nb 0.750 0.750 0.750

Calculated values
**Energy above the most stable polymorph in this dataset**: 3.40 eV per formula unit
**Symmetry**: Fm-3m, No. 225



DFT (PBE) results for a geometry-optimized KRbNb2 structure.

a = 13.860 Å, b = 13.860 Å, c = 13.860 Å
α = 161.47°, β = 161.47°, γ = 26.33°
Atoms (fractional coordinates):
K 0.000 0.000 0.000
K 0.750 0.250 0.500
Rb 0.250 0.750 0.500
Rb 0.500 0.500 0.000
Nb 0.258 0.125 0.633
Nb 0.375 0.742 0.867
Nb 0.492 0.625 0.367
Nb 0.875 0.508 0.133

Calculated values
**Energy above the most stable polymorph in this dataset**: 0.00 eV per formula unit
**Symmetry**: I-42d, No. 122



Results for theoretical density: 3.4 4.5 5.2 2.2 4.3 3.8 (in g/cm³, following the order of the records).